Record 1
Below is Al2Co3 after structural relaxation, with properties calculated at the GGA-PBE level.

Output
- final energy (eV per atom) = -6.0125

Cell and atoms, written as CIF:
```
data_Al2Co3
_chemical_formula_sum 'Al12 Co18'
_cell_length_a 8.7751
_cell_length_b 8.7751
_cell_length_c 4.6201
_cell_angle_alpha 90.00
_cell_angle_beta 90.00
_cell_angle_gamma 90.00
_space_group_name_H-M_alt 'P 42/m n m'
_space_group_IT_number 136
_space_group_name_Hall '-P 4n 2n'
loop_
_atom_site_label
_atom_site_fract_x
_atom_site_fract_y
_atom_site_fract_z
_atom_site_occupancy
Al1 0.0545 0.2690 0.0000 1
Al2 0.1044 0.1044 0.5000 1
Co1 0.0000 0.0000 0.0000 1
Co2 0.0320 0.3669 0.5000 1
Co3 0.1860 0.8140 0.2542 1
```

---

Record 2
Below is Al7Co5 after structural relaxation, with properties calculated at the GGA-PBE level.

Output
- final energy (eV per atom) = -5.1179

Cell and atoms, written as CIF:
```
data_Al7Co5
_chemical_formula_sum 'Al14 Co10'
_cell_length_a 4.8216
_cell_length_b 4.8216
_cell_length_c 15.8789
_cell_angle_alpha 90.00
_cell_angle_beta 90.00
_cell_angle_gamma 120.00
_space_group_name_H-M_alt 'P 63/m m c'
_space_group_IT_number 194
_space_group_name_Hall '-P 6c 2c'
loop_
_atom_site_label
_atom_site_fract_x
_atom_site_fract_y
_atom_site_fract_z
_atom_site_occupancy
Al1 0.0000 0.5000 0.0000 1
Al2 0.3333 0.6667 0.1365 1
Al3 0.3333 0.6667 0.6674 1
Co1 0.0000 0.0000 0.0859 1
Co2 0.1571 0.3141 0.2500 1
```

---

Record 3
Below is AlCo4 after structural relaxation, with properties calculated at the GGA-PBE level.

Output
- final energy (eV per atom) = -6.4988

Cell and atoms, written as CIF:
```
data_AlCo4
_chemical_formula_sum 'Al6 Co24'
_cell_length_a 8.7014
_cell_length_b 8.7014
_cell_length_c 4.5354
_cell_angle_alpha 90.00
_cell_angle_beta 90.00
_cell_angle_gamma 90.00
_space_group_name_H-M_alt 'P 42/m n m'
_space_group_IT_number 136
_space_group_name_Hall '-P 4n 2n'
loop_
_atom_site_label
_atom_site_fract_x
_atom_site_fract_y
_atom_site_fract_z
_atom_site_occupancy
Al1 0.0000 0.0000 0.0000 1
Al2 0.1151 0.1151 0.5000 1
Co1 0.0351 0.3734 0.5000 1
Co2 0.0674 0.2663 0.0000 1
Co3 0.1807 0.8193 0.2518 1
```

---

Record 4
Below is Al4Co9 after structural relaxation, with properties calculated at the GGA-PBE level.

Output
- final energy (eV per atom) = -6.1676

Cell and atoms, written as CIF:
```
data_Al4Co9
_chemical_formula_sum 'Al12 Co27'
_cell_length_a 4.7285
_cell_length_b 4.7285
_cell_length_c 24.1638
_cell_angle_alpha 90.00
_cell_angle_beta 90.00
_cell_angle_gamma 120.00
_space_group_name_H-M_alt 'R -3 m'
_space_group_IT_number 166
_space_group_name_Hall '-R 3 2"'
loop_
_atom_site_label
_atom_site_fract_x
_atom_site_fract_y
_atom_site_fract_z
_atom_site_occupancy
Al1 0.0000 0.0000 0.0542 1
Al2 0.0000 0.0000 0.3338 1
Co1 0.0000 0.0000 0.1561 1
Co2 0.0000 0.0000 0.5000 1
Co3 0.0041 0.5021 0.9112 1
```

---

Record 5
Below is Al2Co after structural relaxation, with properties calculated at the GGA-PBE level.

Output
- final energy (eV per atom) = -5.1485

Cell and atoms, written as CIF:
```
data_Al2Co
_chemical_formula_sum 'Al16 Co8'
_cell_length_a 4.9880
_cell_length_b 8.1090
_cell_length_c 7.9699
_cell_angle_alpha 90.00
_cell_angle_beta 90.00
_cell_angle_gamma 90.00
_space_group_name_H-M_alt 'C m c m'
_space_group_IT_number 63
_space_group_name_Hall '-C 2c 2'
loop_
_atom_site_label
_atom_site_fract_x
_atom_site_fract_y
_atom_site_fract_z
_atom_site_occupancy
Al1 0.0000 0.1839 0.0472 1
Al2 0.2488 0.4396 0.2500 1
Co1 0.0000 0.3032 0.7500 1
Co2 0.0000 0.5000 0.0000 1
```

---

Record 6
Below is AlCo after structural relaxation, with properties calculated at the GGA-PBE level.

Output
- final energy (eV per atom) = -5.6746

Cell and atoms, written as CIF:
```
data_AlCo
_chemical_formula_sum 'Al3 Co3'
_cell_length_a 2.6929
_cell_length_b 2.6929
_cell_length_c 11.5913
_cell_angle_alpha 90.00
_cell_angle_beta 90.00
_cell_angle_gamma 120.00
_space_group_name_H-M_alt 'R -3 m'
_space_group_IT_number 166
_space_group_name_Hall '-R 3 2"'
loop_
_atom_site_label
_atom_site_fract_x
_atom_site_fract_y
_atom_site_fract_z
_atom_site_occupancy
Al1 0.0000 0.0000 0.0000 1
Co1 0.0000 0.0000 0.5000 1
```

---

Result set for total magnetic moment: 18.6 7.8 34.4 32.7 0.0 2.0 μB/cell, one per record in the order listed.